Entry 1:
Material: BiB3Cl
Method: DFT, PBE-GGA
State: relaxed

a b c (Å): 4.1884 4.1884 4.1884
angles (deg): 90.00 90.00 90.00
Fractional positions:
B 0.0000 0.5000 0.0000
B 0.0000 0.0000 0.5000
B 0.5000 0.0000 0.0000
Bi 0.5000 0.5000 0.5000
Cl 0.0000 0.0000 0.0000

Summary:
Raw formation energy = 2.1592 eV/atom
Calculated density = 6.26 g/cm3
Symmetry = No. 221

Entry 2:
Material: ZnCu7Si2
Method: DFT, PBE-GGA
State: relaxed

a b c (Å): 4.1377 6.6244 6.6244
angles (deg): 119.70 90.00 90.00
Fractional positions:
Zn 0.0000 0.0000 0.0000
Cu 0.0000 0.7861 0.2139
Cu 0.0000 0.2139 0.7861
Cu 0.5000 0.0685 0.2929
Cu 0.5000 0.9315 0.7071
Cu 0.5000 0.2929 0.0685
Cu 0.5000 0.7071 0.9315
Cu 0.5000 0.5000 0.5000
Si 0.5000 0.6989 0.3011
Si 0.5000 0.3011 0.6989

Summary:
Raw formation energy = 0.1840 eV/atom
Calculated density = 5.96 g/cm3
Symmetry = No. 65

Entry 3:
Material: RbMnSi2H
Method: DFT, PBE-GGA
State: relaxed

a b c (Å): 5.2476 3.1370 5.2476
angles (deg): 90.00 90.00 90.00
Last column: magnetic moment on the atom in μB.
Fractional positions:
H 0.0000 0.0000 0.0000  0.00
Si 0.0000 0.0000 0.5000  -0.01
Si 0.5000 0.0000 0.0000  0.03
Mn 0.0000 0.5000 0.0000  -0.22
Rb 0.5000 0.5000 0.5000  0.01

Summary:
Calculated density = 3.80 g/cm3
Symmetry = No. 123

Entry 4:
Material: CaTeRu4
Method: DFT, PBE-GGA
State: relaxed

a b c (Å): 5.3084 5.3084 5.3084
angles (deg): 60.00 60.00 60.00
Last column: magnetic moment on the atom in μB.
Fractional positions:
Ca 0.0000 0.0000 0.0000  -0.01
Te 0.7500 0.7500 0.7500  -0.01
Ru 0.8729 0.3757 0.3757  0.27
Ru 0.3757 0.3757 0.8729  0.27
Ru 0.3757 0.8729 0.3757  0.27
Ru 0.3757 0.3757 0.3757  0.27

Summary:
Raw formation energy = 0.3283 eV/atom
Calculated density = 8.98 g/cm3
Symmetry = No. 216

Entry 5:
Material: LiHf2Sb
Method: DFT, PBE-GGA
State: relaxed

a b c (Å): 7.7314 7.7314 6.1634
angles (deg): 51.16 51.16 90.00
Fractional positions:
Sb 0.0000 0.0000 0.0000
Sb 0.7500 0.2500 0.5000
Hf 0.6161 0.1250 0.2500
Hf 0.1339 0.6250 0.2500
Hf 0.3750 0.3839 0.7500
Hf 0.8750 0.8661 0.7500
Li 0.5000 0.5000 0.0000
Li 0.2500 0.7500 0.5000

Summary:
Raw formation energy = 0.1843 eV/atom
Calculated density = 9.48 g/cm3
Symmetry = No. 122

Entry 6:
Material: CaIr2Br
Method: DFT, PBE-GGA
State: relaxed

a b c (Å): 3.4899 3.4899 6.1625
angles (deg): 90.00 90.00 90.00
Fractional positions:
Ca 0.5000 0.5000 0.7500
Ir 0.0000 0.0000 0.0209
Ir 0.0000 0.0000 0.4791
Br 0.5000 0.5000 0.2500

Summary:
Raw formation energy = 0.7000 eV/atom
Calculated density = 11.16 g/cm3
Symmetry = No. 123

Entry 7:
Material: Cd3PdPt
Method: DFT, PBE-GGA
State: relaxed

a b c (Å): 4.3911 4.3647 9.8813
angles (deg): 90.00 76.78 90.00
Fractional positions:
Cd 0.1493 0.3443 0.4260
Cd 0.9556 0.3444 0.8072
Cd 0.6493 0.8443 0.4253
Cd 0.7617 0.3443 0.1892
Cd 0.2618 0.8442 0.1886
Cd 0.4557 0.8444 0.8074
Pd 0.8587 0.8446 0.9979
Pd 0.5524 0.3446 0.6166
Pt 0.3578 0.3445 0.9992
Pt 0.0532 0.8445 0.6154

Summary:
Calculated density = 11.51 g/cm3
Symmetry = No. 11

Entry 8:
Material: NaVSi3
Method: DFT, PBE-GGA
State: relaxed

a b c (Å): 4.6178 4.6178 4.6178
angles (deg): 90.00 90.00 90.00
Fractional positions:
Na 0.5000 0.5000 0.5000
Si 0.0000 0.5000 0.0000
Si 0.0000 0.0000 0.5000
Si 0.5000 0.0000 0.0000
V 0.0000 0.0000 0.0000

Summary:
Raw formation energy = 0.1558 eV/atom
Calculated density = 2.67 g/cm3
Symmetry = No. 221

no.,E_tot (eV/atom)
1,-2.99
2,-3.90
3,-3.67
4,-6.71
5,-6.30
6,-4.65
7,-3.09
8,-5.19